{
  "formula": "Li2Cd4Sn3",
  "functional": "PBE",
  "state": "relaxed",
  "total_energy_ev_per_atom": -2.289,
  "rho_g_cm3": 6.6,
  "delta_e_f_ev_per_atom": -0.123,
  "sg": "P-1",
  "lattice_angstrom": [[4.4614, 0.0102, 0.0060], [2.2444, 5.0533, 1.4020], [0.0093, 0.5517, 9.3664]],
  "species": ["Cd", "Cd", "Cd", "Cd", "Sn", "Sn", "Sn", "Li", "Li"],
  "fractional_positions": [[0.3283, 0.3462, 0.1070], [0.0023, 0.9881, 0.6735], [0.9977, 0.0119, 0.3265], [0.6717, 0.6538, 0.8930], [0.0000, 0.0000, 0.0000], [0.3320, 0.3390, 0.4432], [0.6680, 0.6610, 0.5568], [0.3398, 0.3187, 0.7851], [0.6602, 0.6813, 0.2149]]
}